No. 1
PuSbPdRh | PBE | optimized geometry

Structure (CIF):
```
data_PuSbPdRh
_chemical_formula_sum 'Pu1 Sb1 Pd1 Rh1'
_space_group_name_H-M_alt 'P 1'
_space_group_IT_number 1
_cell_length_a 4.8026
_cell_length_b 4.8026
_cell_length_c 4.8026
_cell_angle_alpha 60.00
_cell_angle_beta 60.00
_cell_angle_gamma 60.00
loop_
_space_group_symop_operation_xyz
'x,y,z'
loop_
_atom_site_label
_atom_site_fract_x
_atom_site_fract_y
_atom_site_fract_z
Pu1 0.0000 0.0000 0.0000
Sb1 0.5000 0.5000 0.5000
Pd1 0.7500 0.7500 0.7500
Rh1 0.2500 0.2500 0.2500
```

The value obtained for the uncorrected formation energy is -0.4760 eV per atom. Its total DFT energy (no corrections) is -8.226 eV/atom. The density of states at the Fermi level comes out at 10.5 states/eV/cell.


No. 2
Ba2TlCu2O6 | PBE | optimized geometry

Structure (CIF):
```
data_Ba2TlCu2O6
_chemical_formula_sum 'Ba2 Tl1 Cu2 O6'
_space_group_name_H-M_alt 'P 1'
_space_group_IT_number 1
_cell_length_a 6.8378
_cell_length_b 6.8378
_cell_length_c 6.8378
_cell_angle_alpha 52.12
_cell_angle_beta 52.12
_cell_angle_gamma 52.12
loop_
_space_group_symop_operation_xyz
'x,y,z'
loop_
_atom_site_label
_atom_site_fract_x
_atom_site_fract_y
_atom_site_fract_z
Ba1 0.2161 0.2161 0.2161
Ba2 0.7839 0.7839 0.7839
Tl1 0.0000 0.0000 0.0000
Cu1 0.4198 0.4198 0.4198
Cu2 0.5802 0.5802 0.5802
O1 0.2271 0.7518 0.7518
O2 0.2482 0.2482 0.7729
O3 0.2482 0.7729 0.2482
O4 0.7518 0.2271 0.7518
O5 0.7518 0.7518 0.2271
O6 0.7729 0.2482 0.2482
```

The value obtained for the uncorrected formation energy is -1.2638 eV per atom. Its total DFT energy (no corrections) is -5.278 eV/atom. The density of states at the Fermi level comes out at 7.5 states/eV/cell.


No. 3
Nd2NpTl3Se6 | PBE | optimized geometry

Structure (CIF):
```
data_Nd2NpTl3Se6
_chemical_formula_sum 'Nd2 Np1 Tl3 Se6'
_space_group_name_H-M_alt 'P 1'
_space_group_IT_number 1
_cell_length_a 7.4510
_cell_length_b 7.4510
_cell_length_c 8.1233
_cell_angle_alpha 98.79
_cell_angle_beta 98.79
_cell_angle_gamma 119.99
loop_
_space_group_symop_operation_xyz
'x,y,z'
loop_
_atom_site_label
_atom_site_fract_x
_atom_site_fract_y
_atom_site_fract_z
Nd1 0.1667 0.8333 0.0000
Nd2 0.8333 0.1667 0.0000
Np1 0.5000 0.5000 0.0000
Tl1 0.0000 0.0000 0.5000
Tl2 0.3328 0.6672 0.5000
Tl3 0.6672 0.3328 0.5000
Se1 0.1022 0.4304 0.7911
Se2 0.2417 0.2417 0.2099
Se3 0.4304 0.1022 0.7911
Se4 0.5696 0.8978 0.2089
Se5 0.7583 0.7583 0.7901
Se6 0.8978 0.5696 0.2089
```

The value obtained for the uncorrected formation energy is -1.2111 eV per atom. Its total DFT energy (no corrections) is -5.418 eV/atom. The density of states at the Fermi level comes out at 6.0 states/eV/cell.